Entry from the Alexandria database: a relaxed K2TmRhO6 crystal (PBE).

Calculated values
Energy, eV/cell: -59.16
Energy relative to the elements, uncorrected, kcal/mol of atoms: -35.50

abc: 5.871 5.871 5.871
angles: 60.00 60.00 60.00
Element x y z (fractional)
K  0.250  0.250  0.250
K  0.750  0.750  0.750
Tm  0.000  0.000  0.000
Rh  0.500  0.500  0.500
O  0.265  0.265  0.735
O  0.265  0.735  0.265
O  0.265  0.735  0.735
O  0.735  0.265  0.265
O  0.735  0.265  0.735
O  0.735  0.735  0.265